Below is TaHgBr2 after structural relaxation, with properties calculated at the PBEsol level.

Unit cell a=4.507 b=4.507 c=7.944 alpha=90.00 beta=90.00 gamma=90.00
Space group I4/mmm (No. 139)
Inequivalent atoms, fractional coordinates:
Ta 0.000 0.000 0.000 x2
Hg 0.000 0.000 0.500 x2
Br 0.000 0.500 0.250 x4

Summary:
Its polymorph energy (0 for the lowest one) is 0.484 eV/atom. The value obtained for the formation energy without anion corrections is 0.57 eV per atom. As for the density of states at the Fermi level: 5.248 states/eV per cell. Its total energy is -3.6436 eV per atom.